P:
Computed, not measured: a relaxed TbZr3N4 crystal at the PBE level of DFT.

Cell lengths 4.6887, 4.6887, 4.6887 Å; angles 90.00, 90.00, 90.00 degrees
Space group Pm-3m (No. 221)
Symmetry-distinct sites (fractional):
1 Tb 0.0000 0.0000 0.0000 (multiplicity 1)
2 Zr 0.0000 0.5000 0.5000 (multiplicity 3)
3 N 0.0000 0.0000 0.5000 (multiplicity 3)
4 N 0.5000 0.5000 0.5000 (multiplicity 1)

Q:
Computed, not measured: a relaxed TbZr3N4 crystal at the PBE level of DFT.

Cell lengths 6.6561, 9.3646, 3.3022 Å; angles 90.00, 90.00, 90.00 degrees
Space group Cmmm (No. 65)
Symmetry-distinct sites (fractional):
1 Tb 0.0000 0.0000 0.0000 (multiplicity 2)
2 Zr 0.0000 0.5000 0.0000 (multiplicity 2)
3 Zr 0.2500 0.2500 0.5000 (multiplicity 4)
4 N 0.0000 0.2555 0.0000 (multiplicity 4)
5 N 0.2380 0.5000 0.5000 (multiplicity 4)

Top of the stability list: Q, leading by 0.029 eV/atom.